[1]
Density functional theory data (PBE) for a relaxed structure of Rb2SrTa.

- DFT formation energy (eV/atom) = 1.4899
- energy relative to the lowest polymorph listed for this composition (kJ/mol of formula units) = 27
- SG = No. 225

Structure (POSCAR):
```
Rb2SrTa
1.0
0.000 4.577 4.577
4.577 0.000 4.577
4.577 4.577 0.000
Rb Sr Ta
2 1 1
Cartesian
2.289 2.289 2.289
6.866 6.866 6.866
0.000 0.000 0.000
4.577 4.577 4.577
```

=====

[2]
Density functional theory data (PBE) for a relaxed structure of CoTc2Te.

- SG = No. 123
- formation energy from raw total energies (eV per atom) = 0.475

Structure (POSCAR):
```
CoTc2Te
1.0
3.779 0.000 0.000
0.000 3.779 0.000
0.000 0.000 4.239
Co Tc Te
1 2 1
Cartesian
0.000 0.000 0.000
0.000 1.890 2.120
1.890 0.000 2.120
1.890 1.890 0.000
```